Record 1
## RbTlAgSb2 (PBE-GGA)

Data for crystalline RbTlAgSb2 at its relaxed geometry.

Summary:
Total DFT energy (no corrections)   -2.958 eV/atom

Geometry as CIF:
```
data_RbTlAgSb2
_chemical_formula_sum 'Rb2 Tl2 Ag2 Sb4'
_cell_length_a 4.575
_cell_length_b 4.575
_cell_length_c 15.432
_cell_angle_alpha 90.00
_cell_angle_beta 90.00
_cell_angle_gamma 90.00
_symmetry_space_group_name_H-M 'I -4 m 2'
_symmetry_Int_Tables_number 119
_symmetry_space_group_name_Hall 'I -4 -2'
loop_
_atom_site_label
_atom_site_type_symbol
_atom_site_fract_x
_atom_site_fract_y
_atom_site_fract_z
Rb1 Rb 0.000 0.000 0.000
Tl1 Tl 0.000 0.500 0.250
Ag1 Ag 0.000 0.500 0.750
Sb1 Sb 0.000 0.000 0.372
```

Record 2
## SmHo2Cd3AgAu2 (PBE-GGA)

Data for crystalline SmHo2Cd3AgAu2 at its relaxed geometry.

Summary:
Total DFT energy (no corrections)   -3.457 eV/atom

Geometry as CIF:
```
data_SmHo2Cd3AgAu2
_chemical_formula_sum 'Sm2 Ho4 Cd6 Ag2 Au4'
_cell_length_a 3.875
_cell_length_b 13.681
_cell_length_c 7.836
_cell_angle_alpha 90.00
_cell_angle_beta 90.00
_cell_angle_gamma 90.00
_symmetry_space_group_name_H-M 'A m m 2'
_symmetry_Int_Tables_number 38
_symmetry_space_group_name_Hall 'A 2 -2'
loop_
_atom_site_label
_atom_site_type_symbol
_atom_site_fract_x
_atom_site_fract_y
_atom_site_fract_z
Sm1 Sm 0.000 0.000 0.000
Ho1 Ho 0.000 0.204 0.388
Cd1 Cd 0.500 0.000 0.332
Cd2 Cd 0.500 0.131 0.722
Ag1 Ag 0.000 0.000 0.591
Au1 Au 0.500 0.169 0.094
```

Record 3
## Li4FeGe2Pd (PBE-GGA)

Data for crystalline Li4FeGe2Pd at its relaxed geometry.

Summary:
Total DFT energy (no corrections)   -4.152 eV/atom

Geometry as CIF:
```
data_Li4FeGe2Pd
_chemical_formula_sum 'Li4 Fe1 Ge2 Pd1'
_cell_length_a 4.180
_cell_length_b 4.180
_cell_length_c 6.083
_cell_angle_alpha 90.00
_cell_angle_beta 90.00
_cell_angle_gamma 90.00
_symmetry_space_group_name_H-M 'P -4 m 2'
_symmetry_Int_Tables_number 115
_symmetry_space_group_name_Hall 'P -4 -2'
loop_
_atom_site_label
_atom_site_type_symbol
_atom_site_fract_x
_atom_site_fract_y
_atom_site_fract_z
Li1 Li 0.000 0.000 0.000
Li2 Li 0.000 0.500 0.750
Li3 Li 0.500 0.500 0.500
Fe1 Fe 0.000 0.000 0.500
Ge1 Ge 0.000 0.500 0.269
Pd1 Pd 0.500 0.500 0.000
```

Question: Among the records above, which one has the highest total DFT energy (no corrections)?
Answer: RbTlAgSb2

Question: Among the records above, which one has the lowest total DFT energy (no corrections)?
Answer: Li4FeGe2Pd

Question: The lowest total DFT energy (no corrections) belongs to which entry?
Answer: Li4FeGe2Pd

Question: Which of these has the highest total DFT energy (no corrections)?
Answer: RbTlAgSb2